# K2PaAuSe4, optimized geometry, DFT GGA-PBE
data_K2PaAuSe4
_chemical_formula_sum 'K2 Pa1 Au1 Se4'
_space_group_name_H-M_alt 'P 1'
_space_group_IT_number 1
_space_group_name_Hall 'P 1'
_cell_length_a 4.1975
_cell_length_b 8.0865
_cell_length_c 8.0066
_cell_angle_alpha 64.89
_cell_angle_beta 90.00
_cell_angle_gamma 90.00
loop_
_atom_site_label
_atom_site_type_symbol
_atom_site_fract_x
_atom_site_fract_y
_atom_site_fract_z
K1 K 0.5000 0.0000 0.5000
Se1 Se 0.0000 0.6461 0.7608
Se2 Se 0.5000 0.2656 0.6972
K2 K 0.0000 0.0000 0.0000
Au1 Au 0.5000 0.5000 0.0000
Pa1 Pa 0.0000 0.5000 0.5000
Se3 Se 0.0000 0.3539 0.2392
Se4 Se 0.5000 0.7344 0.3027
# Symmetry: P2/m
# E_form (uncorrected) (eV/atom): -1.0307



# TbNd2Bi, optimized geometry, DFT GGA-PBE
data_TbNd2Bi
_chemical_formula_sum 'Tb1 Nd2 Bi1'
_space_group_name_H-M_alt 'P 1'
_space_group_IT_number 1
_space_group_name_Hall 'P 1'
_cell_length_a 4.1526
_cell_length_b 4.1526
_cell_length_c 9.9931
_cell_angle_alpha 78.01
_cell_angle_beta 78.01
_cell_angle_gamma 60.00
loop_
_atom_site_label
_atom_site_type_symbol
_atom_site_fract_x
_atom_site_fract_y
_atom_site_fract_z
Bi1 Bi 0.6666 0.6666 0.0002
Nd1 Nd 0.2623 0.2623 0.2131
Nd2 Nd 0.0712 0.0712 0.7866
Tb1 Tb 0.4999 0.4999 0.5002
# Energy relative to the lowest polymorph listed for this composition (meV per atom): 216
# Symmetry: R3m



# Sm4Ti, optimized geometry, DFT GGA-PBE
data_Sm4Ti
_chemical_formula_sum 'Sm4 Ti1'
_space_group_name_H-M_alt 'P 1'
_space_group_IT_number 1
_space_group_name_Hall 'P 1'
_cell_length_a 5.5207
_cell_length_b 5.5207
_cell_length_c 5.5207
_cell_angle_alpha 90.00
_cell_angle_beta 90.00
_cell_angle_gamma 90.00
loop_
_atom_site_label
_atom_site_type_symbol
_atom_site_fract_x
_atom_site_fract_y
_atom_site_fract_z
Sm1 Sm 0.0000 0.0000 0.0000
Sm2 Sm 0.5000 0.0000 0.5000
Sm3 Sm 0.5000 0.5000 0.0000
Sm4 Sm 0.0000 0.5000 0.5000
Ti1 Ti 0.5000 0.5000 0.5000
# Symmetry: Pm-3m
# Calculated total energy (eV per atom): -4.89



# BePAu, optimized geometry, DFT GGA-PBE
data_BePAu
_chemical_formula_sum 'Be2 P2 Au2'
_space_group_name_H-M_alt 'P 1'
_space_group_IT_number 1
_space_group_name_Hall 'P 1'
_cell_length_a 3.8937
_cell_length_b 3.8937
_cell_length_c 5.7636
_cell_angle_alpha 90.00
_cell_angle_beta 90.00
_cell_angle_gamma 90.00
loop_
_atom_site_label
_atom_site_type_symbol
_atom_site_fract_x
_atom_site_fract_y
_atom_site_fract_z
Be1 Be 0.5000 0.5000 0.5000
Au1 Au 0.5000 0.0000 0.2241
P1 P 0.0000 0.5000 0.2327
Au2 Au 0.0000 0.5000 0.7759
P2 P 0.5000 0.0000 0.7673
Be2 Be 0.0000 0.0000 0.5000
# Symmetry: P4/nmm
# Calculated total energy (eV per atom): -3.99



What is the formula in the first record?
K2PaAuSe4



Copy entry 2 word for word.
# TbNd2Bi, optimized geometry, DFT GGA-PBE
data_TbNd2Bi
_chemical_formula_sum 'Tb1 Nd2 Bi1'
_space_group_name_H-M_alt 'P 1'
_space_group_IT_number 1
_space_group_name_Hall 'P 1'
_cell_length_a 4.1526
_cell_length_b 4.1526
_cell_length_c 9.9931
_cell_angle_alpha 78.01
_cell_angle_beta 78.01
_cell_angle_gamma 60.00
loop_
_atom_site_label
_atom_site_type_symbol
_atom_site_fract_x
_atom_site_fract_y
_atom_site_fract_z
Bi1 Bi 0.6666 0.6666 0.0002
Nd1 Nd 0.2623 0.2623 0.2131
Nd2 Nd 0.0712 0.0712 0.7866
Tb1 Tb 0.4999 0.4999 0.5002
# Energy relative to the lowest polymorph listed for this composition (meV per atom): 216
# Symmetry: R3m



What is the formula in the third record?
Sm4Ti



Please write out number 1 again, unchanged.
# K2PaAuSe4, optimized geometry, DFT GGA-PBE
data_K2PaAuSe4
_chemical_formula_sum 'K2 Pa1 Au1 Se4'
_space_group_name_H-M_alt 'P 1'
_space_group_IT_number 1
_space_group_name_Hall 'P 1'
_cell_length_a 4.1975
_cell_length_b 8.0865
_cell_length_c 8.0066
_cell_angle_alpha 64.89
_cell_angle_beta 90.00
_cell_angle_gamma 90.00
loop_
_atom_site_label
_atom_site_type_symbol
_atom_site_fract_x
_atom_site_fract_y
_atom_site_fract_z
K1 K 0.5000 0.0000 0.5000
Se1 Se 0.0000 0.6461 0.7608
Se2 Se 0.5000 0.2656 0.6972
K2 K 0.0000 0.0000 0.0000
Au1 Au 0.5000 0.5000 0.0000
Pa1 Pa 0.0000 0.5000 0.5000
Se3 Se 0.0000 0.3539 0.2392
Se4 Se 0.5000 0.7344 0.3027
# Symmetry: P2/m
# E_form (uncorrected) (eV/atom): -1.0307